First-principles (PBE) data for an optimized crystal structure of Dy3Y2Tl2, as listed in Alexandria.

Excess energy over the best structure of this formula in the dataset (eV per atom): 0.136
DFT formation energy (eV/atom): -0.0767

a b c (Å): 4.969 3.491 12.074
angles (deg): 90.00 78.13 90.00
Sites, in units of the cell vectors:
Y1 0.286 0.500 0.429
Y2 0.714 0.500 0.571
Dy1 0.144 0.000 0.712
Dy2 0.000 0.000 0.000
Tl1 0.573 0.500 0.854
Tl2 0.427 0.500 0.146
Dy3 0.856 0.000 0.288

---

First-principles (PBE) data for an optimized crystal structure of Dy3Y3Tl2, as listed in Alexandria.

Excess energy over the best structure of this formula in the dataset (eV per atom): 0.081
DFT formation energy (eV/atom): -0.1058

a b c (Å): 5.152 6.508 15.983
angles (deg): 90.00 90.00 113.32
Sites, in units of the cell vectors:
Y1 0.733 0.466 0.250
Y2 0.040 0.080 0.895
Y3 0.040 0.080 0.605
Tl1 0.228 0.456 0.364
Dy1 0.361 0.722 0.968
Y4 0.960 0.920 0.105
Tl2 0.772 0.544 0.636
Y5 0.267 0.534 0.750
Dy2 0.639 0.278 0.468
Tl3 0.772 0.544 0.864
Dy3 0.451 0.902 0.250
Tl4 0.228 0.456 0.136
Dy4 0.361 0.722 0.532
Y6 0.960 0.920 0.395
Dy5 0.639 0.278 0.032
Dy6 0.549 0.098 0.750

---

First-principles (PBE) data for an optimized crystal structure of Dy4Y3Tl2, as listed in Alexandria.

DFT formation energy (eV/atom): -0.1211

a b c (Å): 4.951 7.597 8.007
angles (deg): 108.50 108.01 90.00
Sites, in units of the cell vectors:
Y1 0.884 0.322 0.769
Tl1 0.345 0.002 0.691
Tl2 0.655 0.998 0.309
Dy1 0.443 0.667 0.886
Dy2 0.221 0.314 0.441
Dy3 0.779 0.686 0.559
Y2 0.000 0.000 0.000
Y3 0.116 0.678 0.231
Dy4 0.557 0.333 0.114